No. 1
Computed, not measured: Pm4ErTm after structural relaxation at the PBE level of DFT.

Unit cell a=11.6460 b=11.6472 c=3.4592 alpha=90.00 beta=90.00 gamma=90.00
Space group Cmmm (No. 65)
Unique sites:
Pm1 0.0000 0.2390 0.0000 [4 per cell]
Pm2 0.2398 0.5000 0.5000 [4 per cell]
Er1 0.0000 0.5000 0.0000 [2 per cell]
Tm1 0.0000 0.0000 0.5000 [2 per cell]

Calculated formation energy ... 632.1 meV per atom
ΔE to the lowest computed polymorph ... 575 meV/atom

=====

No. 2
Computed, not measured: Pm7Er2Tm3 after structural relaxation at the PBE level of DFT.

Unit cell a=5.8179 b=3.6008 c=18.8871 alpha=90.00 beta=94.04 gamma=90.00
Space group P2/m (No. 10)
Unique sites:
Pm1 0.0000 0.0000 0.0000 [1 per cell]
Pm2 0.1772 0.5000 0.1839 [2 per cell]
Pm3 0.2583 0.5000 0.5345 [2 per cell]
Pm4 0.3260 0.0000 0.8549 [2 per cell]
Er1 0.2939 0.5000 0.7020 [2 per cell]
Tm1 0.2181 0.0000 0.3678 [2 per cell]
Tm2 0.5000 0.5000 0.0000 [1 per cell]

Calculated formation energy ... 92.0 meV per atom
ΔE to the lowest computed polymorph ... 16 meV/atom

=====

No. 3
Computed, not measured: Pm8Er3Tm2 after structural relaxation at the PBE level of DFT.

Unit cell a=20.1610 b=7.7095 c=5.6931 alpha=90.00 beta=90.01 gamma=90.00
Space group C2/m (No. 12)
Unique sites:
Pm1 0.1065 0.2052 0.0001 [8 per cell]
Pm2 0.1311 0.5000 0.4997 [4 per cell]
Pm3 0.1729 0.0000 0.5004 [4 per cell]
Er1 0.0000 0.2139 0.5000 [4 per cell]
Er2 0.0000 0.5000 0.0000 [2 per cell]
Tm1 0.2397 0.5000 0.9994 [4 per cell]

Calculated formation energy ... 206.4 meV per atom
ΔE to the lowest computed polymorph ... 124 meV/atom

=====

No. 4
Computed, not measured: PmEr2Tm9 after structural relaxation at the PBE level of DFT.

Unit cell a=11.0664 b=11.0664 c=3.4750 alpha=90.00 beta=90.00 gamma=120.00
Space group P6/mmm (No. 191)
Unique sites:
Pm1 0.0000 0.0000 0.0000 [1 per cell]
Er1 0.3333 0.6667 0.0000 [2 per cell]
Tm1 0.0000 0.5000 0.0000 [3 per cell]
Tm2 0.1785 0.3571 0.5000 [6 per cell]

Calculated formation energy ... 44.4 meV per atom
ΔE to the lowest computed polymorph ... 0 meV/atom

=====

No. 5
Computed, not measured: Pm3ErTm2 after structural relaxation at the PBE level of DFT.

Unit cell a=3.4891 b=5.8682 c=19.4930 alpha=90.00 beta=90.00 gamma=90.00
Space group Immm (No. 71)
Unique sites:
Pm1 0.0000 0.0000 0.0000 [2 per cell]
Pm2 0.0000 0.5000 0.1907 [4 per cell]
Er1 0.0000 0.5000 0.0000 [2 per cell]
Tm1 0.0000 0.5000 0.3636 [4 per cell]

Calculated formation energy ... 367.4 meV per atom
ΔE to the lowest computed polymorph ... 349 meV/atom

=====

No. 6
Computed, not measured: PmEr4Tm3 after structural relaxation at the PBE level of DFT.

Unit cell a=3.5221 b=7.0215 c=9.9365 alpha=90.00 beta=90.00 gamma=90.00
Space group Pmmm (No. 47)
Unique sites:
Pm1 0.0000 0.0000 0.0000 [1 per cell]
Er1 0.5000 0.2517 0.2522 [4 per cell]
Tm1 0.0000 0.0000 0.5000 [1 per cell]
Tm2 0.0000 0.5000 0.0000 [1 per cell]
Tm3 0.0000 0.5000 0.5000 [1 per cell]

Calculated formation energy ... 25.6 meV per atom
ΔE to the lowest computed polymorph ... 24 meV/atom

=====

No. 7
Computed, not measured: Pm3Er7Tm2 after structural relaxation at the PBE level of DFT.

Unit cell a=3.5975 b=5.5339 c=20.3612 alpha=90.00 beta=95.16 gamma=90.00
Space group P2/m (No. 10)
Unique sites:
Pm1 0.0000 0.0000 0.0000 [1 per cell]
Pm2 0.3269 0.5000 0.6606 [2 per cell]
Er1 0.0878 0.5000 0.1711 [2 per cell]
Er2 0.2151 0.0000 0.4302 [2 per cell]
Er3 0.4303 0.0000 0.8651 [2 per cell]
Er4 0.5000 0.5000 0.0000 [1 per cell]
Tm1 0.1411 0.0000 0.2731 [2 per cell]

Calculated formation energy ... 235.9 meV per atom
ΔE to the lowest computed polymorph ... 146 meV/atom

=====

No. 8
Computed, not measured: Pm5Er12Tm2 after structural relaxation at the PBE level of DFT.

Unit cell a=6.4750 b=8.8753 c=11.3603 alpha=110.09 beta=93.23 gamma=97.66
Space group P-1 (No. 2)
Unique sites:
Pm1 0.0000 0.0000 0.0000 [1 per cell]
Pm2 0.1954 0.9857 0.6940 [2 per cell]
Pm3 0.4818 0.6034 0.2787 [2 per cell]
Er1 0.0344 0.7424 0.3708 [2 per cell]
Er2 0.0488 0.3445 0.2316 [2 per cell]
Er3 0.2236 0.3971 0.9593 [2 per cell]
Er4 0.2961 0.8208 0.1352 [2 per cell]
Er5 0.3395 0.1302 0.4206 [2 per cell]
Er6 0.4794 0.8068 0.8618 [2 per cell]
Tm1 0.2619 0.5507 0.5379 [2 per cell]

Calculated formation energy ... 88.7 meV per atom
ΔE to the lowest computed polymorph ... 0 meV/atom

=====

No. 9
Computed, not measured: PmEr6Tm3 after structural relaxation at the PBE level of DFT.

Unit cell a=10.8596 b=18.7728 c=6.1348 alpha=90.00 beta=90.00 gamma=90.00
Space group Cmc2_1 (No. 36)
Unique sites:
Pm1 0.0000 0.2092 0.0000 [4 per cell]
Er1 0.0000 0.0483 0.7508 [4 per cell]
Er2 0.0000 0.2901 0.4761 [4 per cell]
Er3 0.1656 0.4537 0.3606 [8 per cell]
Er4 0.2441 0.2103 0.6960 [8 per cell]
Tm1 0.0000 0.3901 0.9117 [4 per cell]
Tm2 0.1748 0.1079 0.2892 [8 per cell]

Calculated formation energy ... 150.0 meV per atom
ΔE to the lowest computed polymorph ... 0 meV/atom

=====

No. 10
Computed, not measured: Pm15ErTm4 after structural relaxation at the PBE level of DFT.

Unit cell a=5.1100 b=5.1100 c=25.4343 alpha=90.00 beta=90.00 gamma=90.00
Space group P4/mmm (No. 123)
Unique sites:
Pm1 0.0000 0.0000 0.0000 [1 per cell]
Pm2 0.0000 0.0000 0.2002 [2 per cell]
Pm3 0.0000 0.0000 0.4001 [2 per cell]
Pm4 0.0000 0.5000 0.1003 [4 per cell]
Pm5 0.0000 0.5000 0.3001 [4 per cell]
Pm6 0.0000 0.5000 0.5000 [2 per cell]
Er1 0.5000 0.5000 0.0000 [1 per cell]
Tm1 0.5000 0.5000 0.2002 [2 per cell]
Tm2 0.5000 0.5000 0.4000 [2 per cell]

Calculated formation energy ... 11.9 meV per atom

=====

No. 11
Computed, not measured: Pm2ErTm8 after structural relaxation at the PBE level of DFT.

Unit cell a=17.9546 b=4.9717 c=7.8687 alpha=90.00 beta=105.20 gamma=90.00
Space group C2/m (No. 12)
Unique sites:
Pm1 0.2270 0.0000 0.1372 [4 per cell]
Er1 0.0000 0.5000 0.5000 [2 per cell]
Tm1 0.0445 0.0000 0.2278 [4 per cell]
Tm2 0.0895 0.5000 0.9534 [4 per cell]
Tm3 0.1351 0.0000 0.6783 [4 per cell]
Tm4 0.1810 0.5000 0.4081 [4 per cell]

Calculated formation energy ... 26.0 meV per atom
ΔE to the lowest computed polymorph ... 0 meV/atom

=====

No. 12
Computed, not measured: Pm3Er7Tm2 after structural relaxation at the PBE level of DFT.

Unit cell a=5.7777 b=3.5378 c=18.6431 alpha=90.00 beta=93.03 gamma=90.00
Space group P2/m (No. 10)
Unique sites:
Pm1 0.0000 0.0000 0.0000 [1 per cell]
Pm2 0.2787 0.5000 0.6334 [2 per cell]
Er1 0.1902 0.5000 0.1438 [2 per cell]
Er2 0.2429 0.0000 0.4624 [2 per cell]
Er3 0.3071 0.0000 0.8235 [2 per cell]
Er4 0.5000 0.5000 0.0000 [1 per cell]
Tm1 0.2095 0.0000 0.2923 [2 per cell]

Calculated formation energy ... 90.0 meV per atom
ΔE to the lowest computed polymorph ... 0 meV/atom